First-principles (PBE) data for an optimized crystal structure of BaAcAsO5, as listed in Alexandria via LeMat-Bulk.

Calculated values
- Space-group type: C2/c (15)
- Total DFT energy (no corrections): -109.72 eV per cell
- Fermi-level density of states: 0.00 states/eV per atom
- Crystal system: monoclinic
- Raw formation energy: -2424 meV/atom

Cell: 6.4634 6.4634 8.2943 Å, 101.66 101.66 107.82°
With the nearest neighbours (Å) after each atom.
Element x y z (fractional)
Ba: 0.1645 0.8355 0.7500  1 O 2.46
Ba: 0.8355 0.1645 0.2500  1 O 2.46
Ac: 0.5000 0.5000 0.0000  2 O 2.32
Ac: 0.5000 0.5000 0.5000  2 O 2.32
As: 0.1795 0.8205 0.2500  4 O 1.73-1.74
As: 0.8205 0.1795 0.7500  4 O 1.73-1.74
O: 0.0715 0.2318 0.9019  1 As 1.73
O: 0.1671 0.6111 0.3543  1 As 1.74
O: 0.2318 0.0715 0.4019  1 As 1.73
O: 0.3889 0.8329 0.1457  1 As 1.74
O: 0.3998 0.6002 0.7500  2 Ac 2.32, 1 Ba 2.46
O: 0.6002 0.3998 0.2500  2 Ac 2.32, 1 Ba 2.46
O: 0.6111 0.1671 0.8543  1 As 1.74
O: 0.7682 0.9285 0.5981  1 As 1.73
O: 0.8329 0.3889 0.6457  1 As 1.74
O: 0.9285 0.7682 0.0981  1 As 1.73